[1]
The following is a DFT calculation (GGA-PBE) of a geometry-optimized Cs2PPb structure.

The value obtained for the total energy is -0.203 Ry/atom. The calculated formation energy comes out at -51 meV/atom. The value obtained for the volume is 1005.6 Å³/cell.

The structure belongs to space group I-42d (No. 122); the cell edges are 13.711, 13.711 and 5.349 Å and the angles 90.00°, 90.00° and 90.00°. The asymmetric unit holds Cs at (0.067, 0.250, 0.125), P at (0.000, 0.000, 0.000) and Pb at (0.000, 0.000, 0.500).

---

[2]
The following is a DFT calculation (GGA-PBE) of a geometry-optimized Cu3HgCl structure.

As for the energy relative to the elements, uncorrected: 14.06 kcal/mol of atoms. The value obtained for the total energy is -0.167 Ry/atom. As for the energy relative to the lowest polymorph listed for this composition: 0.0 meV/atom. The value obtained for the volume is 94.1 Å³/cell.

The structure belongs to space group Pm-3m (No. 221); the cell edges are 4.548, 4.548 and 4.548 Å and the angles 90.00°, 90.00° and 90.00°. The asymmetric unit holds Cu at (0.000, 0.000, 0.500), Hg at (0.500, 0.500, 0.500) and Cl at (0.000, 0.000, 0.000).